Entry 1:
Density functional theory data (PBE) for a geometry-optimized SrBeV2 structure.

Lattice parameters (Å, degrees): 9.849 9.849 9.849 154.92 154.92 35.76
Positions (direct):
Sr 0.000 0.000 0.000
Sr 0.750 0.250 0.500
Be 0.250 0.750 0.500
Be 0.500 0.500 0.000
V 0.361 0.625 0.236
V 0.375 0.611 0.736
V 0.389 0.125 0.764
V 0.875 0.639 0.264

* formation energy: 981.2 meV per atom
* raw total energy: -39.441 eV/cell
* volume: 21.43 Å³/atom
* crystal system: tetragonal
* total moment: 0.00 μB/f.u.
* space group: I-42d

Entry 2:
Density functional theory data (PBE) for a geometry-optimized SrBeV3 structure.

Lattice parameters (Å, degrees): 4.481 4.481 4.481 90.00 90.00 90.00
Positions (direct):
Sr 0.000 0.000 0.000
Be 0.500 0.500 0.500
V 0.000 0.000 0.500
V 0.000 0.500 0.000
V 0.500 0.000 0.000

* formation energy: 2670.4 meV per atom
* raw total energy: -19.412 eV/cell
* volume: 17.99 Å³/atom
* crystal system: cubic
* energy above the lowest structure with this stoichiometry: 1644 meV per atom
* total moment: 0.00 μB/f.u.
* space group: Pm-3m

Entry 3:
Density functional theory data (PBE) for a geometry-optimized SrBe3V structure.

Lattice parameters (Å, degrees): 4.574 4.574 4.574 90.00 90.00 90.00
Positions (direct):
Sr 0.000 0.000 0.000
Be 0.000 0.500 0.500
Be 0.500 0.000 0.500
Be 0.500 0.500 0.000
V 0.500 0.500 0.500

* formation energy: 831.9 meV per atom
* raw total energy: -17.820 eV/cell
* volume: 19.13 Å³/atom
* crystal system: cubic
* energy above the lowest structure with this stoichiometry: 0 meV per atom
* total moment: 3.27 μB/f.u.
* space group: Pm-3m

Entry 4:
Density functional theory data (PBE) for a geometry-optimized SrBe2V structure.

Lattice parameters (Å, degrees): 9.118 9.118 9.118 151.36 151.36 40.95
Positions (direct):
Sr 0.375 0.625 0.750
Sr 0.625 0.375 0.250
Be 0.000 0.000 0.000
Be 0.000 0.000 0.500
Be 0.000 0.500 0.000
Be 0.500 0.000 0.500
V 0.125 0.875 0.250
V 0.875 0.125 0.750

* formation energy: 780.9 meV per atom
* raw total energy: -30.258 eV/cell
* volume: 21.72 Å³/atom
* crystal system: tetragonal
* energy above the lowest structure with this stoichiometry: 0 meV per atom
* total moment: 3.54 μB/f.u.
* space group: I4_1/amd